Below is an optimized crystal structure of La3Pr2Cd, with properties calculated at the PBE-GGA level.

Unit cell a=3.7770 b=3.7770 c=14.6053 alpha=90.00 beta=90.00 gamma=90.00
With the nearest neighbours (Å) after each atom.
Fractional positions:
La 0.0000 0.0000 0.0000  8 Pr 3.72, 4 La 3.78
La 0.0000 0.0000 0.3555  4 Cd 3.40, 4 Pr 3.73, 4 La 3.78
La 0.0000 0.0000 0.6445  4 Cd 3.40, 4 Pr 3.73, 4 La 3.78
Pr 0.5000 0.5000 0.1776  8 La 3.72-3.73, 4 Pr 3.78
Pr 0.5000 0.5000 0.8224  8 La 3.72-3.73, 4 Pr 3.78
Cd 0.5000 0.5000 0.5000  8 La 3.40, 4 Cd 3.78

Calculated values
* formation energy: -0.60 eV/f.u.
* energy above the most stable polymorph in this dataset: 0.0 kJ/mol of formula units
* VASP energy: -0.3167 Ry per atom
* space-group type: P4/mmm (123)


Below is an optimized crystal structure of La3PrCd2, with properties calculated at the PBE-GGA level.

Unit cell a=3.8565 b=3.8565 c=13.1852 alpha=90.00 beta=90.00 gamma=90.00
With the nearest neighbours (Å) after each atom.
Fractional positions:
La 0.0000 0.0000 0.0000  8 Cd 3.41
La 0.0000 0.0000 0.3068  4 Cd 3.38, 4 Pr 3.73
La 0.0000 0.0000 0.6932  4 Cd 3.38, 4 Pr 3.73
Pr 0.5000 0.5000 0.5000  8 La 3.73, 4 Pr 3.86
Cd 0.5000 0.5000 0.1555  8 La 3.38-3.41
Cd 0.5000 0.5000 0.8445  8 La 3.38-3.41

Calculated values
* formation energy: -1.27 eV/f.u.
* VASP energy: -0.2776 Ry per atom
* space-group type: P4/mmm (123)


Below is an optimized crystal structure of LaPr14Cd, with properties calculated at the PBE-GGA level.

Unit cell a=7.3265 b=7.3265 c=10.4430 alpha=90.00 beta=90.00 gamma=90.00
With the nearest neighbours (Å) after each atom.
Fractional positions:
La 0.0000 0.0000 0.0000  12 Pr 3.66-3.67
Pr 0.0000 0.0000 0.5000  12 Pr 3.66-3.74
Pr 0.0000 0.5000 0.0000  8 Pr 3.65, 2 Cd 3.66, 2 La 3.66
Pr 0.0000 0.5000 0.5000  12 Pr 3.66-3.71
Pr 0.2536 0.2536 0.2457  10 Pr 3.61-3.74, 1 Cd 3.62, 1 La 3.67
Pr 0.2536 0.2536 0.7543  10 Pr 3.61-3.74, 1 Cd 3.62, 1 La 3.67
Pr 0.2536 0.7464 0.2457  10 Pr 3.61-3.74, 1 Cd 3.62, 1 La 3.67
Pr 0.2536 0.7464 0.7543  10 Pr 3.61-3.74, 1 Cd 3.62, 1 La 3.67
Pr 0.5000 0.0000 0.0000  8 Pr 3.65, 2 Cd 3.66, 2 La 3.66
Pr 0.5000 0.0000 0.5000  12 Pr 3.66-3.71
Pr 0.5000 0.5000 0.5000  12 Pr 3.66-3.68
Pr 0.7464 0.2536 0.2457  10 Pr 3.61-3.74, 1 Cd 3.62, 1 La 3.67
Pr 0.7464 0.2536 0.7543  10 Pr 3.61-3.74, 1 Cd 3.62, 1 La 3.67
Pr 0.7464 0.7464 0.2457  10 Pr 3.61-3.74, 1 Cd 3.62, 1 La 3.67
Pr 0.7464 0.7464 0.7543  10 Pr 3.61-3.74, 1 Cd 3.62, 1 La 3.67
Cd 0.5000 0.5000 0.0000  12 Pr 3.62-3.66

Calculated values
* formation energy: -0.30 eV/f.u.
* VASP energy: -0.3356 Ry per atom
* space-group type: P4/mmm (123)


Below is an optimized crystal structure of La12Pr5Cd2, with properties calculated at the PBE-GGA level.

Unit cell a=9.2796 b=9.2796 c=8.9152 alpha=94.07 beta=94.07 gamma=60.31
With the nearest neighbours (Å) after each atom.
Fractional positions:
La 0.0552 0.0552 0.3398  7 La 3.39-3.77, 2 Pr 3.42-3.78, 2 Cd 3.44
La 0.0694 0.6697 0.3075  5 La 3.44-3.77, 4 Pr 3.48-3.82, 1 Cd 3.60
La 0.1697 0.5440 0.7600  1 Cd 3.32, 4 La 3.39-3.68, 2 Pr 3.62-3.64
La 0.3303 0.9306 0.6925  5 La 3.44-3.77, 4 Pr 3.48-3.82, 1 Cd 3.60
La 0.4236 0.4236 0.1131  5 La 3.30-3.68, 2 Cd 3.55, 2 Pr 3.56-3.57
La 0.4560 0.8303 0.2400  1 Cd 3.32, 4 La 3.39-3.68, 2 Pr 3.62-3.64
La 0.5440 0.1697 0.7600  1 Cd 3.32, 4 La 3.39-3.68, 2 Pr 3.62-3.64
La 0.5764 0.5764 0.8869  5 La 3.30-3.68, 2 Cd 3.55, 2 Pr 3.56-3.57
La 0.6697 0.0694 0.3075  5 La 3.44-3.77, 4 Pr 3.48-3.82, 1 Cd 3.60
La 0.8303 0.4560 0.2400  1 Cd 3.32, 4 La 3.39-3.68, 2 Pr 3.62-3.64
La 0.9306 0.3303 0.6925  5 La 3.44-3.77, 4 Pr 3.48-3.82, 1 Cd 3.60
La 0.9448 0.9448 0.6602  7 La 3.39-3.77, 2 Pr 3.42-3.78, 2 Cd 3.44
Pr 0.2020 0.2020 0.0293  2 Cd 3.57, 8 La 3.57-4.00, 1 Pr 3.64
Pr 0.2663 0.2663 0.4308  7 La 3.42-3.81, 2 Pr 3.64-3.75
Pr 0.5000 0.5000 0.5000  10 La 3.56-3.82, 2 Pr 3.75
Pr 0.7337 0.7337 0.5692  7 La 3.42-3.81, 2 Pr 3.64-3.75
Pr 0.7980 0.7980 0.9707  2 Cd 3.57, 8 La 3.57-4.00, 1 Pr 3.64
Cd 0.1628 0.8372 0.0000  1 Cd 3.04, 2 La 3.32
Cd 0.8372 0.1628 0.0000  1 Cd 3.04, 2 La 3.32

Calculated values
* formation energy: 0.11 eV/f.u.
* VASP energy: -0.3278 Ry per atom
* space-group type: C2/m (12)


Below is an optimized crystal structure of La2Pr3Cd4, with properties calculated at the PBE-GGA level.

Unit cell a=10.2078 b=10.2078 c=8.5353 alpha=90.00 beta=90.00 gamma=139.89
With the nearest neighbours (Å) after each atom.
Fractional positions:
La 0.0910 0.9090 0.9056  5 Cd 3.43-3.82, 2 Pr 3.78
La 0.4090 0.5910 0.4056  5 Cd 3.43-3.82, 2 Pr 3.78
La 0.5910 0.4090 0.5944  5 Cd 3.43-3.82, 2 Pr 3.78
La 0.9090 0.0910 0.0944  5 Cd 3.43-3.82, 2 Pr 3.78
Pr 0.0000 0.0000 0.5000  6 Cd 3.09-3.13
Pr 0.0014 0.4986 0.7500  5 Cd 3.21-3.30, 2 Pr 3.50
Pr 0.4986 0.0014 0.2500  5 Cd 3.21-3.30, 2 Pr 3.50
Pr 0.5000 0.5000 0.0000  6 Cd 3.09-3.13
Pr 0.5014 0.9986 0.7500  5 Cd 3.21-3.30, 2 Pr 3.50
Pr 0.9986 0.5014 0.2500  5 Cd 3.21-3.30, 2 Pr 3.50
Cd 0.1611 0.8389 0.5084  5 Pr 3.09-3.28, 2 Cd 3.25
Cd 0.1733 0.3267 0.7500  3 Pr 3.13-3.30, 4 Cd 3.25-3.50, 2 La 3.43
Cd 0.3267 0.1733 0.2500  3 Pr 3.13-3.30, 4 Cd 3.25-3.50, 2 La 3.43
Cd 0.3389 0.6611 0.0084  5 Pr 3.09-3.28, 2 Cd 3.25
Cd 0.6611 0.3389 0.9916  5 Pr 3.09-3.28, 2 Cd 3.25
Cd 0.6733 0.8267 0.7500  3 Pr 3.13-3.30, 4 Cd 3.25-3.50, 2 La 3.43
Cd 0.8267 0.6733 0.2500  3 Pr 3.13-3.30, 4 Cd 3.25-3.50, 2 La 3.43
Cd 0.8389 0.1611 0.4916  5 Pr 3.09-3.28, 2 Cd 3.25

Calculated values
* formation energy: -1.44 eV/f.u.
* VASP energy: -0.2393 Ry per atom
* space-group type: Cmce (64)


Below is an optimized crystal structure of La2PrCd, with properties calculated at the PBE-GGA level.

Unit cell a=5.7040 b=5.7040 c=5.7040 alpha=60.00 beta=60.00 gamma=60.00
With the nearest neighbours (Å) after each atom.
Fractional positions:
La 0.2500 0.2500 0.2500  4 Cd 3.49, 4 Pr 3.49
La 0.7500 0.7500 0.7500  4 Cd 3.49, 4 Pr 3.49
Pr 0.0000 0.0000 0.0000  8 La 3.49
Cd 0.5000 0.5000 0.5000  8 La 3.49

Calculated values
* formation energy: -0.18 eV/f.u.
* energy above the most stable polymorph in this dataset: 43.6 kJ/mol of formula units
* VASP energy: -0.2890 Ry per atom
* space-group type: Fm-3m (225)


Below is an optimized crystal structure of La3Pr3Cd, with properties calculated at the PBE-GGA level.

Unit cell a=9.7287 b=5.8197 c=9.7368 alpha=90.00 beta=119.92 gamma=90.00
With the nearest neighbours (Å) after each atom.
Fractional positions:
La 0.0191 0.2500 0.3876  4 La 3.48-3.77, 3 Cd 3.53-3.84, 5 Pr 3.58-3.80
La 0.1314 0.7500 0.0207  4 La 3.48-3.76, 3 Cd 3.54-3.81, 5 Pr 3.58-3.81
La 0.3887 0.7500 0.8692  4 La 3.48-3.76, 3 Cd 3.54-3.82, 5 Pr 3.58-3.81
La 0.6113 0.2500 0.1308  4 La 3.48-3.76, 3 Cd 3.54-3.82, 5 Pr 3.58-3.81
La 0.8686 0.2500 0.9793  4 La 3.48-3.76, 3 Cd 3.54-3.81, 5 Pr 3.58-3.81
La 0.9809 0.7500 0.6124  4 La 3.48-3.77, 3 Cd 3.53-3.84, 5 Pr 3.58-3.80
Pr 0.2543 0.7500 0.4380  5 La 3.58-3.80, 1 Cd 3.60, 6 Pr 3.62-3.73
Pr 0.3166 0.2500 0.2543  5 La 3.58-3.81, 1 Cd 3.60, 6 Pr 3.62-3.73
Pr 0.4370 0.2500 0.6831  5 La 3.58-3.81, 1 Cd 3.60, 6 Pr 3.62-3.73
Pr 0.5630 0.7500 0.3169  5 La 3.58-3.81, 1 Cd 3.60, 6 Pr 3.62-3.73
Pr 0.6834 0.7500 0.7457  5 La 3.58-3.81, 1 Cd 3.60, 6 Pr 3.62-3.73
Pr 0.7457 0.2500 0.5620  5 La 3.58-3.80, 1 Cd 3.60, 6 Pr 3.62-3.73
Cd 0.1665 0.2500 0.8338  9 La 3.53-3.84, 3 Pr 3.60
Cd 0.8335 0.7500 0.1662  9 La 3.53-3.84, 3 Pr 3.60

Calculated values
* formation energy: -0.34 eV/f.u.
* energy above the most stable polymorph in this dataset: 0.0 kJ/mol of formula units
* VASP energy: -0.3190 Ry per atom
* space-group type: P2_1/m (11)


Below is an optimized crystal structure of La5PrCd, with properties calculated at the PBE-GGA level.

Unit cell a=5.2897 b=5.2897 c=9.2055 alpha=90.00 beta=90.00 gamma=90.00
With the nearest neighbours (Å) after each atom.
Fractional positions:
La 0.0000 0.0000 0.0000  8 La 3.70, 4 Pr 3.74
La 0.0000 0.5000 0.2807  2 Cd 3.33, 2 La 3.70, 2 Pr 3.70
La 0.0000 0.5000 0.7193  2 Cd 3.33, 2 La 3.70, 2 Pr 3.70
La 0.5000 0.0000 0.2807  2 Cd 3.33, 2 La 3.70, 2 Pr 3.70
La 0.5000 0.0000 0.7193  2 Cd 3.33, 2 La 3.70, 2 Pr 3.70
Pr 0.5000 0.5000 0.0000  12 La 3.70-3.74
Cd 0.0000 0.0000 0.5000  8 La 3.33

Calculated values
* formation energy: 0.14 eV/f.u.
* energy above the most stable polymorph in this dataset: 19.1 kJ/mol of formula units
* VASP energy: -0.3170 Ry per atom
* space-group type: P4/mmm (123)


Below is an optimized crystal structure of La2PrCd, with properties calculated at the PBE-GGA level.

Unit cell a=11.5390 b=11.5390 c=11.5390 alpha=18.68 beta=18.68 gamma=18.68
With the nearest neighbours (Å) after each atom.
Fractional positions:
La 0.0000 0.0000 0.0000  3 Cd 3.40, 6 La 3.74, 3 Pr 3.75
La 0.1792 0.1792 0.1792  3 Cd 3.40, 3 Pr 3.72, 6 La 3.74
Pr 0.7568 0.7568 0.7568  6 La 3.72-3.75, 6 Pr 3.74
Cd 0.5895 0.5895 0.5895  6 La 3.40, 6 Cd 3.74

Calculated values
* formation energy: -0.23 eV/f.u.
* energy above the most stable polymorph in this dataset: 39.0 kJ/mol of formula units
* VASP energy: -0.2899 Ry per atom
* space-group type: R3m (160)


Below is an optimized crystal structure of La2Pr5Cd, with properties calculated at the PBE-GGA level.

Unit cell a=6.9274 b=6.9274 c=7.3366 alpha=105.28 beta=105.28 gamma=116.17
With the nearest neighbours (Å) after each atom.
Fractional positions:
La 0.2304 0.7696 0.0000  1 Cd 3.48, 9 Pr 3.51-3.77, 2 La 3.69
La 0.7696 0.2304 0.0000  1 Cd 3.48, 9 Pr 3.51-3.77, 2 La 3.69
Pr 0.1795 0.1795 0.8271  5 Pr 3.43-3.81, 4 La 3.51-3.77, 2 Cd 3.52-3.82
Pr 0.2422 0.7448 0.4891  2 Cd 3.58-3.59, 4 La 3.62-3.74, 6 Pr 3.63-3.66
Pr 0.6482 0.6482 0.8274  5 Pr 3.43-3.78, 4 La 3.51-3.77, 2 Cd 3.53-3.82
Pr 0.6537 0.6537 0.3151  8 Pr 3.53-3.81, 2 Cd 3.64-3.69, 2 La 3.75
Pr 0.7448 0.2422 0.4891  2 Cd 3.58-3.59, 4 La 3.62-3.74, 6 Pr 3.63-3.66
Cd 0.1718 0.1718 0.3438  2 La 3.48, 10 Pr 3.52-3.82

Calculated values
* formation energy: -0.35 eV/f.u.
* VASP energy: -0.3217 Ry per atom
* space-group type: Cm (8)


Below is an optimized crystal structure of La3Pr3Cd, with properties calculated at the PBE-GGA level.

Unit cell a=8.9919 b=8.9919 c=8.9919 alpha=58.16 beta=58.16 gamma=58.16
With the nearest neighbours (Å) after each atom.
Fractional positions:
La 0.0618 0.5676 0.2190  4 Pr 3.26-3.60, 1 Cd 3.51
La 0.2190 0.0618 0.5676  4 Pr 3.26-3.60, 1 Cd 3.51
La 0.4324 0.7810 0.9382  4 Pr 3.26-3.60, 1 Cd 3.51
La 0.5676 0.2190 0.0618  4 Pr 3.26-3.60, 1 Cd 3.51
La 0.7810 0.9382 0.4324  4 Pr 3.26-3.60, 1 Cd 3.51
La 0.9382 0.4324 0.7810  4 Pr 3.26-3.60, 1 Cd 3.51
Pr 0.2150 0.7056 0.4100  4 La 3.26-3.60, 2 Pr 3.32, 1 Cd 3.39
Pr 0.2944 0.5900 0.7850  4 La 3.26-3.60, 2 Pr 3.32, 1 Cd 3.39
Pr 0.4100 0.2150 0.7056  4 La 3.26-3.60, 2 Pr 3.32, 1 Cd 3.39
Pr 0.5900 0.7850 0.2944  4 La 3.26-3.60, 2 Pr 3.32, 1 Cd 3.39
Pr 0.7056 0.4100 0.2150  4 La 3.26-3.60, 2 Pr 3.32, 1 Cd 3.39
Pr 0.7850 0.2944 0.5900  4 La 3.26-3.60, 2 Pr 3.32, 1 Cd 3.39
Cd 0.1629 0.1629 0.1629  3 Pr 3.39, 3 La 3.51
Cd 0.8371 0.8371 0.8371  3 Pr 3.39, 3 La 3.51

Calculated values
* formation energy: 0.68 eV/f.u.
* energy above the most stable polymorph in this dataset: 98.8 kJ/mol of formula units
* VASP energy: -0.3082 Ry per atom
* space-group type: R-3 (148)


Below is an optimized crystal structure of La6PrCd5, with properties calculated at the PBE-GGA level.

Unit cell a=5.6129 b=7.8549 c=8.9660 alpha=90.00 beta=108.11 gamma=90.00
With the nearest neighbours (Å) after each atom.
Fractional positions:
La 0.0000 0.2310 0.0000  6 Cd 3.34-3.40, 2 Pr 3.51, 1 La 3.63
La 0.0000 0.7690 0.0000  6 Cd 3.34-3.40, 2 Pr 3.51, 1 La 3.63
La 0.3253 0.2484 0.6537  7 Cd 3.36-3.54, 1 Pr 3.55
La 0.3253 0.7516 0.6537  7 Cd 3.36-3.54, 1 Pr 3.55
La 0.6747 0.2484 0.3463  7 Cd 3.36-3.54, 1 Pr 3.55
La 0.6747 0.7516 0.3463  7 Cd 3.36-3.54, 1 Pr 3.55
Pr 0.5000 0.5000 0.0000  8 La 3.51-3.55, 6 Cd 3.86-3.93
Cd 0.1581 0.5000 0.3130  8 La 3.40-3.51
Cd 0.1690 0.0000 0.3329  8 La 3.36-3.42
Cd 0.5000 0.0000 0.0000  8 La 3.34-3.54
Cd 0.8310 0.0000 0.6671  8 La 3.36-3.42
Cd 0.8419 0.5000 0.6870  8 La 3.40-3.51

Calculated values
* formation energy: -2.85 eV/f.u.
* VASP energy: -0.2559 Ry per atom
* space-group type: P2/m (10)


> Number 5 is which compound?

La2Pr3Cd4


> What is the formation energy in the first record?

-0.60 eV/f.u.


> What is the VASP energy in the third record?

-0.3356 Ry per atom


> Which of these has the highest VASP energy?

La2Pr3Cd4